DFT (PBE) results for a relaxed structure of Ce6TmS8.

Unit cell a=8.024 b=8.024 c=8.024 alpha=60.00 beta=60.00 gamma=60.00
Each line ends with the local moment (μB).
Fractional positions:
Ce1 0.000 0.500 0.500  0.77
Ce2 0.500 0.000 0.000  0.77
Ce3 0.500 0.500 0.000  0.77
Ce4 0.000 0.000 0.500  0.77
Ce5 0.000 0.500 0.000  0.77
Ce6 0.500 0.000 0.500  0.77
Tm1 0.000 0.000 0.000  0.08
S1 0.750 0.750 0.750  -0.03
S2 0.250 0.250 0.250  -0.03
S3 0.758 0.242 0.242  -0.02
S4 0.242 0.758 0.758  -0.02
S5 0.242 0.242 0.758  -0.02
S6 0.758 0.758 0.242  -0.02
S7 0.758 0.242 0.758  -0.02
S8 0.242 0.758 0.242  -0.02

Calculated values
Fermi-level density of states: 2.20 states/eV/atom
DFT total energy: -6.905 eV/atom
Calculated density: 5.8 Mg/m³